1.
VASP calculation (PBE) on an optimized crystal structure of KNpHgI6.

Cell and atoms, written as POSCAR:
```
KNpHgI6
1.0
8.5484 0.0000 0.0000
-4.2742 7.4031 0.0000
0.0000 0.0000 7.3832
K Np Hg I
1 1 1 6
direct
0.0000 0.0000 0.0000
0.3333 0.6667 0.0000
0.6667 0.3333 0.5000
0.0530 0.3876 0.2347
0.0530 0.6655 0.7653
0.3345 0.3876 0.7653
0.3345 0.9470 0.2347
0.6124 0.6655 0.2347
0.6124 0.9470 0.7653
```

Values from the calculation:
N(E_F)	1.133	states/eV/atom
SG	No. 149
raw formation energy	-0.743	eV per atom

2.
VASP calculation (PBE) on an optimized crystal structure of K2HgIO.

Cell and atoms, written as POSCAR:
```
K2HgIO
1.0
5.7183 0.0000 0.0000
0.0000 5.7183 0.0000
0.0000 0.0000 4.6191
K Hg I O
2 1 1 1
direct
0.0000 0.5000 0.0000
0.5000 0.0000 0.0000
0.0000 0.0000 0.5000
0.5000 0.5000 0.5000
0.0000 0.0000 0.0000
```

Values from the calculation:
N(E_F)	0.189	states/eV/atom
SG	No. 123
raw formation energy	-1.015	eV per atom